1.
Ba2Cu2Cl: relaxed, PBE-GGA.

Unit cell a=9.9162 b=9.9162 c=9.9162 alpha=157.99 beta=157.99 gamma=31.33
Fractional coordinates of all 5 atoms:
Ba1 0.1149 0.1149 0.0000
Ba2 0.8851 0.8851 0.0000
Cu1 0.2500 0.7500 0.5000
Cu2 0.7500 0.2500 0.5000
Cl1 0.5000 0.5000 0.0000

formation energy from raw total energies	-241	kJ/mol of formula units



2.
BaCuCl3: relaxed, PBE-GGA.

Unit cell a=6.8139 b=8.4001 c=11.7883 alpha=90.00 beta=124.85 gamma=90.00
Fractional coordinates of all 20 atoms:
Ba1 0.1967 0.1196 0.2489
Ba2 0.1967 0.3804 0.7489
Ba3 0.8033 0.6196 0.2511
Ba4 0.8033 0.8804 0.7511
Cu1 0.1458 0.6243 0.0755
Cu2 0.1458 0.8757 0.5755
Cu3 0.8542 0.1243 0.4245
Cu4 0.8542 0.3757 0.9245
Cl1 0.0988 0.1808 0.9459
Cl2 0.0988 0.3192 0.4459
Cl3 0.2843 0.6736 0.9415
Cl4 0.2843 0.8264 0.4415
Cl5 0.3769 0.0334 0.7550
Cl6 0.3769 0.4666 0.2550
Cl7 0.6231 0.5334 0.7450
Cl8 0.6231 0.9666 0.2450
Cl9 0.7157 0.1736 0.5585
Cl10 0.7157 0.3264 0.0585
Cl11 0.9012 0.6808 0.5541
Cl12 0.9012 0.8192 0.0541

formation energy from raw total energies	-813	kJ/mol of formula units
energy relative to the lowest polymorph listed for this composition	0.000	eV/atom



3.
Ba2CuCl: relaxed, PBE-GGA.

Unit cell a=5.6028 b=5.6028 c=5.6028 alpha=60.00 beta=60.00 gamma=60.00
Fractional coordinates of all 4 atoms:
Ba1 0.0000 0.0000 0.0000
Ba2 0.2500 0.2500 0.2500
Cu1 0.5000 0.5000 0.5000
Cl1 0.7500 0.7500 0.7500

formation energy from raw total energies	-56	kJ/mol of formula units
energy relative to the lowest polymorph listed for this composition	0.722	eV/atom



4.
Ba2CuCl: relaxed, PBE-GGA.

Unit cell a=8.7501 b=8.7501 c=8.7501 alpha=30.06 beta=30.06 gamma=30.06
Fractional coordinates of all 4 atoms:
Ba1 0.0000 0.0000 0.0000
Ba2 0.1844 0.1844 0.1844
Cu1 0.5931 0.5931 0.5931
Cl1 0.4229 0.4229 0.4229

formation energy from raw total energies	-335	kJ/mol of formula units
energy relative to the lowest polymorph listed for this composition	0.000	eV/atom



5.
Ba2CuCl: relaxed, PBE-GGA.

Unit cell a=4.9702 b=7.0448 c=7.0448 alpha=34.45 beta=90.00 gamma=90.00
Fractional coordinates of all 4 atoms:
Ba1 0.0000 0.0000 0.0000
Ba2 0.5000 0.2542 0.2542
Cu1 0.0000 0.7341 0.7341
Cl1 0.5000 0.4936 0.4936

formation energy from raw total energies	-302	kJ/mol of formula units
energy relative to the lowest polymorph listed for this composition	0.086	eV/atom



6.
Ba2CuCl6: relaxed, PBE-GGA.

Unit cell a=6.5007 b=8.4993 c=11.4100 alpha=90.00 beta=123.42 gamma=90.00
Fractional coordinates of all 18 atoms:
Ba1 0.2109 0.1186 0.2655
Ba2 0.2109 0.3814 0.7655
Ba3 0.7891 0.6186 0.2345
Ba4 0.7891 0.8814 0.7345
Cu1 0.5000 0.0000 0.0000
Cu2 0.5000 0.5000 0.5000
Cl1 0.1549 0.1379 0.9598
Cl2 0.1549 0.3621 0.4598
Cl3 0.2746 0.6791 0.9443
Cl4 0.2746 0.8209 0.4443
Cl5 0.3532 0.0176 0.7660
Cl6 0.3532 0.4824 0.2660
Cl7 0.6468 0.5176 0.7340
Cl8 0.6468 0.9824 0.2340
Cl9 0.7254 0.1791 0.5557
Cl10 0.7254 0.3209 0.0557
Cl11 0.8451 0.6379 0.5402
Cl12 0.8451 0.8621 0.0402

formation energy from raw total energies	-1609	kJ/mol of formula units
energy relative to the lowest polymorph listed for this composition	0.000	eV/atom



7.
BaCuCl3: relaxed, PBE-GGA.

Unit cell a=5.9748 b=5.9748 c=5.9748 alpha=90.00 beta=90.00 gamma=90.00
Fractional coordinates of all 5 atoms:
Ba1 0.0000 0.0000 0.0000
Cu1 0.5000 0.5000 0.5000
Cl1 0.0000 0.0000 0.5000
Cl2 0.0000 0.5000 0.0000
Cl3 0.5000 0.0000 0.0000

formation energy from raw total energies	-442	kJ/mol of formula units
energy relative to the lowest polymorph listed for this composition	0.769	eV/atom



8.
Ba4Cu2Cl: relaxed, PBE-GGA.

Unit cell a=8.8108 b=8.8108 c=8.8108 alpha=138.42 beta=138.42 gamma=60.25
Fractional coordinates of all 7 atoms:
Ba1 0.0000 0.5000 0.5000
Ba2 0.2182 0.2182 0.0000
Ba3 0.5000 0.0000 0.5000
Ba4 0.7818 0.7818 0.0000
Cu1 0.4215 0.4215 0.0000
Cu2 0.5785 0.5785 0.0000
Cl1 0.0000 0.0000 0.0000

formation energy from raw total energies	-284	kJ/mol of formula units



9.
Ba2CuCl: relaxed, PBE-GGA.

Unit cell a=5.7042 b=5.7042 c=5.7042 alpha=60.00 beta=60.00 gamma=60.00
Fractional coordinates of all 4 atoms:
Ba1 0.2500 0.2500 0.2500
Ba2 0.7500 0.7500 0.7500
Cu1 0.0000 0.0000 0.0000
Cl1 0.5000 0.5000 0.5000

formation energy from raw total energies	-257	kJ/mol of formula units
energy relative to the lowest polymorph listed for this composition	0.202	eV/atom



10.
Ba2CuCl2: relaxed, PBE-GGA.

Unit cell a=8.5996 b=8.5996 c=8.5996 alpha=147.38 beta=147.38 gamma=46.80
Fractional coordinates of all 5 atoms:
Ba1 0.1266 0.1266 0.0000
Ba2 0.8734 0.8734 0.0000
Cu1 0.5000 0.5000 0.0000
Cl1 0.2500 0.7500 0.5000
Cl2 0.7500 0.2500 0.5000

formation energy from raw total energies	-607	kJ/mol of formula units



11.
BaCu2Cl4: relaxed, PBE-GGA.

Unit cell a=6.1053 b=6.1053 c=6.1053 alpha=101.14 beta=101.14 gamma=127.84
Fractional coordinates of all 7 atoms:
Ba1 0.0000 0.0000 0.0000
Cu1 0.2500 0.7500 0.5000
Cu2 0.7500 0.2500 0.5000
Cl1 0.2120 0.3710 0.5830
Cl2 0.3710 0.7880 0.1590
Cl3 0.6290 0.2120 0.8410
Cl4 0.7880 0.6290 0.4170

formation energy from raw total energies	-838	kJ/mol of formula units
energy relative to the lowest polymorph listed for this composition	0.050	eV/atom



12.
BaCuCl5: relaxed, PBE-GGA.

Unit cell a=6.3345 b=6.3345 c=11.3581 alpha=107.69 beta=107.69 gamma=60.03
Fractional coordinates of all 14 atoms:
Ba1 0.1619 0.8381 0.7500
Ba2 0.8381 0.1619 0.2500
Cu1 0.0000 0.5000 0.0000
Cu2 0.5000 0.0000 0.5000
Cl1 0.1273 0.2006 0.5451
Cl2 0.2006 0.1273 0.0451
Cl3 0.2649 0.3895 0.8784
Cl4 0.3332 0.6668 0.2500
Cl5 0.3895 0.2649 0.3784
Cl6 0.6105 0.7351 0.6216
Cl7 0.6668 0.3332 0.7500
Cl8 0.7351 0.6105 0.1216
Cl9 0.7994 0.8727 0.9549
Cl10 0.8727 0.7994 0.4549

formation energy from raw total energies	-844	kJ/mol of formula units